# PuUGaRe, relaxed, DFT PBE
data_PuUGaRe
_cell_length_a 6.682
_cell_length_b 6.682
_cell_length_c 6.682
_cell_angle_alpha 90.00
_cell_angle_beta 90.00
_cell_angle_gamma 90.00
_space_group_name_H-M_alt 'F -4 3 m'
_space_group_IT_number 216
_space_group_name_Hall 'F -4 2 3'
loop_
_atom_site_label
_atom_site_fract_x
_atom_site_fract_y
_atom_site_fract_z
_atom_site_occupancy
Pu1 0.000 0.000 0.000 1
U1 0.250 0.250 0.250 1
Ga1 0.250 0.250 0.750 1
Re1 0.000 0.000 0.500 1
# Magnetic moment (μB per formula unit): 6.24
# Calculated volume (Å³ per cell): 298.4
# DFT formation energy (kJ per mole of atoms): -2.1